Entry from the Alexandria database: a geometry-optimized K2RbLiAg structure (GGA-PBE).

Calculated values
- density of states at the Fermi level (states/eV per cell) = 3.99
- E_form (eV/f.u.) = 0.5
- magnetization (μB/f.u.) = 0.0

The structure in POSCAR format:
```
K2RbLiAg
1.0
6.744 0.000 0.000
0.000 6.744 0.000
0.000 0.000 5.530
K Rb Li Ag
2 1 1 1
Cartesian
0.000 3.372 0.000 K
3.372 0.000 0.000 K
0.000 0.000 2.765 Rb
3.372 3.372 2.765 Li
3.372 3.372 0.000 Ag
```



Entry from the Alexandria database: a geometry-optimized KLiAgS structure (GGA-PBE).

Calculated values
- energy relative to the elements, uncorrected (meV/atom) = -726.6
- density of states at the Fermi level (states/eV per cell) = 3.09
- magnetization (μB/f.u.) = 0.0

The structure in POSCAR format:
```
KLiAgS
1.0
3.976 0.000 0.000
0.000 3.976 0.000
0.000 0.000 12.317
K Li Ag S
2 2 2 2
Cartesian
0.994 0.994 2.867 K
2.982 2.982 9.450 K
0.994 2.982 0.000 Li
2.982 0.994 0.000 Li
0.994 2.982 6.159 Ag
2.982 0.994 6.159 Ag
0.994 0.994 10.886 S
2.982 2.982 1.431 S
```



Entry from the Alexandria database: a geometry-optimized KLi2Ag2Sb2 structure (GGA-PBE).

Calculated values
- energy relative to the elements, uncorrected (meV/atom) = -403.7
- density of states at the Fermi level (states/eV per cell) = 1.88
- magnetization (μB/f.u.) = 0.0

The structure in POSCAR format:
```
KLi2Ag2Sb2
1.0
2.333 1.347 9.380
-2.333 1.347 9.380
0.000 -2.694 9.380
K Li Ag Sb
1 2 2 2
Cartesian
0.000 0.000 0.000 K
0.000 0.000 3.983 Li
0.000 0.000 24.156 Li
0.000 0.000 12.530 Ag
0.000 0.000 15.609 Ag
0.000 0.000 6.858 Sb
0.000 0.000 21.281 Sb
```



Entry from the Alexandria database: a geometry-optimized KLi2ScAg structure (GGA-PBE).

Calculated values
- density of states at the Fermi level (states/eV per cell) = 10.12
- E_form (eV/f.u.) = 2.9
- magnetization (μB/f.u.) = 1.1

The structure in POSCAR format:
```
KLi2ScAg
1.0
5.719 0.000 0.000
0.000 5.719 0.000
0.000 0.000 5.395
K Li Sc Ag
1 2 1 1
Cartesian
0.000 0.000 0.000 K
0.000 2.859 2.697 Li
2.859 0.000 2.697 Li
2.859 2.859 2.697 Sc
2.859 2.859 0.000 Ag
```



Entry from the Alexandria database: a geometry-optimized K2LiAg3Se4 structure (GGA-PBE).

Calculated values
- energy relative to the elements, uncorrected (meV/atom) = -603.6
- density of states at the Fermi level (states/eV per cell) = 3.79
- magnetization (μB/f.u.) = 0.0

The structure in POSCAR format:
```
K2LiAg3Se4
1.0
4.753 0.000 0.000
0.000 4.753 0.000
0.000 0.000 10.724
K Li Ag Se
2 1 3 4
Cartesian
0.000 2.377 2.664 K
2.377 0.000 8.060 K
2.377 2.377 0.000 Li
0.000 0.000 0.000 Ag
0.000 2.377 6.682 Ag
2.377 0.000 4.042 Ag
0.000 0.000 5.362 Se
0.000 2.377 9.348 Se
2.377 0.000 1.376 Se
2.377 2.377 5.362 Se
```



Entry from the Alexandria database: a geometry-optimized K2LiAgSe2 structure (GGA-PBE).

Calculated values
- energy relative to the elements, uncorrected (meV/atom) = -947.4
- magnetization (μB/f.u.) = 0.0

The structure in POSCAR format:
```
K2LiAgSe2
1.0
-3.203 7.580 3.196
3.203 -7.580 3.196
3.203 7.580 -3.196
K Li Ag Se
4 2 2 4
Cartesian
1.530 2.585 0.000 K
1.530 -2.585 3.196 K
1.672 10.165 0.000 K
1.672 4.995 3.196 K
3.203 0.000 1.598 Li
0.000 7.580 1.598 Li
0.000 0.000 1.598 Ag
0.000 0.000 4.795 Ag
4.700 1.555 0.000 Se
1.497 6.025 0.000 Se
1.706 1.555 3.196 Se
-1.497 6.025 3.196 Se
```



Entry from the Alexandria database: a geometry-optimized KLi2SiAg structure (GGA-PBE).

Calculated values
- energy relative to the elements, uncorrected (meV/atom) = -65.4
- density of states at the Fermi level (states/eV per cell) = 0.81
- distance to the lowest polymorph of the same formula (meV/atom) = 0
- magnetization (μB/f.u.) = 0.0

The structure in POSCAR format:
```
KLi2SiAg
1.0
5.046 0.000 0.000
0.000 5.046 0.000
0.000 0.000 4.906
K Li Si Ag
1 2 1 1
Cartesian
0.000 0.000 0.000 K
0.000 2.523 2.453 Li
2.523 0.000 2.453 Li
2.523 2.523 2.453 Si
2.523 2.523 0.000 Ag
```



Entry from the Alexandria database: a geometry-optimized KLi2SiAg structure (GGA-PBE).

Calculated values
- energy relative to the elements, uncorrected (meV/atom) = 554.3
- density of states at the Fermi level (states/eV per cell) = 3.57
- distance to the lowest polymorph of the same formula (meV/atom) = 620
- magnetization (μB/f.u.) = 0.0

The structure in POSCAR format:
```
KLi2SiAg
1.0
4.993 0.000 0.000
0.000 4.993 0.000
0.000 0.000 6.003
K Li Si Ag
1 2 1 1
Cartesian
0.000 0.000 0.000 K
0.000 2.497 3.001 Li
2.497 0.000 3.001 Li
2.497 2.497 0.000 Si
0.000 0.000 3.001 Ag
```



Entry from the Alexandria database: a geometry-optimized KLi2AgSn structure (GGA-PBE).

Calculated values
- density of states at the Fermi level (states/eV per cell) = 0.70
- E_form (eV/f.u.) = -0.6
- magnetization (μB/f.u.) = 0.0

The structure in POSCAR format:
```
KLi2AgSn
1.0
5.334 0.000 0.000
0.000 5.334 0.000
0.000 0.000 5.330
K Li Ag Sn
1 2 1 1
Cartesian
0.000 0.000 0.000 K
0.000 2.667 2.665 Li
2.667 0.000 2.665 Li
2.667 2.667 0.000 Ag
2.667 2.667 2.665 Sn
```



Entry from the Alexandria database: a geometry-optimized KSr2LiAg structure (GGA-PBE).

Calculated values
- density of states at the Fermi level (states/eV per cell) = 4.47
- E_form (eV/f.u.) = 0.1
- magnetization (μB/f.u.) = 0.0

The structure in POSCAR format:
```
KSr2LiAg
1.0
6.298 0.000 0.000
0.000 6.298 0.000
0.000 0.000 5.513
K Sr Li Ag
1 2 1 1
Cartesian
0.000 0.000 0.000 K
0.000 3.149 2.757 Sr
3.149 0.000 2.757 Sr
3.149 3.149 0.000 Li
3.149 3.149 2.757 Ag
```



Entry from the Alexandria database: a geometry-optimized KLiAgTe structure (GGA-PBE).

Calculated values
- energy relative to the elements, uncorrected (meV/atom) = -548.6
- density of states at the Fermi level (states/eV per cell) = 1.72
- magnetization (μB/f.u.) = 0.0

The structure in POSCAR format:
```
KLiAgTe
1.0
4.210 0.000 0.000
0.000 4.210 0.000
0.000 0.000 13.225
K Li Ag Te
2 2 2 2
Cartesian
1.053 1.053 3.087 K
3.158 3.158 10.139 K
1.053 3.158 6.613 Li
3.158 1.053 6.613 Li
1.053 3.158 0.000 Ag
3.158 1.053 0.000 Ag
1.053 1.053 8.380 Te
3.158 3.158 4.846 Te
```



Entry from the Alexandria database: a geometry-optimized K2LiAgTe2 structure (GGA-PBE).

Calculated values
- energy relative to the elements, uncorrected (meV/atom) = -856.0
- magnetization (μB/f.u.) = 0.0

The structure in POSCAR format:
```
K2LiAgTe2
1.0
-3.406 7.927 3.416
3.406 -7.927 3.416
3.406 7.927 -3.416
K Li Ag Te
4 2 2 4
Cartesian
1.632 2.650 0.000 K
1.632 -2.650 3.416 K
1.774 10.577 0.000 K
1.774 5.277 3.416 K
3.406 0.000 1.708 Li
0.000 7.927 1.708 Li
0.000 0.000 1.708 Ag
0.000 0.000 5.124 Ag
5.046 1.636 0.000 Te
1.640 6.291 0.000 Te
1.766 1.636 3.416 Te
-1.640 6.291 3.416 Te
```



Q: What is the formula in the first record?
A: K2RbLiAg



Q: Which formula does entry 4 have?
A: KLi2ScAg